# BeFe2Co2

An optimized crystal structure of BeFe2Co2 (PBE, the Alexandria database).

POSCAR file:
```
BeFe2Co2
1.0
6.627 0.000 0.000
0.000 6.627 0.000
0.000 0.000 2.659
Fe Co Be
4 4 2
direct
0.148 0.352 0.000
0.852 0.648 0.000
0.352 0.852 0.000
0.648 0.148 0.000
0.349 0.151 0.500
0.849 0.349 0.500
0.651 0.849 0.500
0.151 0.651 0.500
0.000 0.000 0.000
0.500 0.500 0.000
```

Results
For the total energy, the calculation gives -6.67 eV/atom. As for the formation energy: 0.30 eV/atom. As for the density of states at the Fermi level: 0.7609 states/eV per atom. Its symmetry is P4/mbm, No. 127.